Below is an optimized crystal structure of Sr2CrPbO5, with properties calculated at the GGA+U level.

Values from the calculation:
As for the space group: P4/mbm, No. 127.

abc: 5.821 6.931 6.931
angles: 90.00 90.00 90.00
Fractional positions:
Sr 0.500 0.677 0.177
Sr 0.500 0.177 0.323
Sr 0.500 0.823 0.677
Sr 0.500 0.323 0.823
Cr 0.000 0.000 0.500
Cr 0.000 0.500 0.000
Pb 0.000 0.500 0.500
Pb 0.000 0.000 0.000
O 0.500 0.500 0.500
O 0.500 0.000 0.000
O 0.219 0.130 0.630
O 0.219 0.870 0.370
O 0.219 0.370 0.130
O 0.219 0.630 0.870
O 0.781 0.130 0.630
O 0.781 0.630 0.870
O 0.781 0.870 0.370
O 0.781 0.370 0.130

***

Below is an optimized crystal structure of SrCrPbO4, with properties calculated at the GGA+U level.

Values from the calculation:
As for the space group: P2_1/m, No. 11. Its density of states at the Fermi level is 0.0 states/eV/cell.

abc: 5.749 6.297 7.197
angles: 90.00 109.32 90.00
Last column: magnetic moment on the atom in μB.
Fractional positions:
Sr 0.834 0.750 0.513  0.01
Sr 0.166 0.250 0.487  0.01
Cr 0.254 0.750 0.302  2.04
Cr 0.746 0.250 0.698  2.04
Pb 0.727 0.750 0.988  0.01
Pb 0.273 0.250 0.012  0.01
O 0.982 0.461 0.758  -0.02
O 0.018 0.961 0.242  -0.02
O 0.018 0.539 0.242  -0.02
O 0.982 0.039 0.758  -0.02
O 0.479 0.750 0.179  -0.02
O 0.521 0.250 0.821  -0.02
O 0.404 0.750 0.555  -0.04
O 0.596 0.250 0.445  -0.04

***

Below is an optimized crystal structure of SrCr2PbO8, with properties calculated at the GGA+U level.

Values from the calculation:
As for the space group: P-3, No. 147. Its density of states at the Fermi level is 0.0 states/eV/cell.

abc: 5.748 5.748 7.620
angles: 90.00 90.00 120.00
Fractional positions:
Sr 0.000 0.000 0.000
Cr 0.667 0.333 0.192
Cr 0.333 0.667 0.808
Pb 0.000 0.000 0.500
O 0.333 0.667 0.022
O 0.346 0.174 0.261
O 0.826 0.172 0.261
O 0.667 0.333 0.978
O 0.174 0.828 0.739
O 0.654 0.826 0.739
O 0.172 0.346 0.739
O 0.828 0.654 0.261

***

Below is an optimized crystal structure of TaCrPb2O8, with properties calculated at the GGA+U level.

Values from the calculation:
As for the space group: P2/m, No. 10.

abc: 4.913 4.909 6.467
angles: 90.00 90.00 90.51
Last column: magnetic moment on the atom in μB.
Fractional positions:
Ta 0.000 0.000 0.000  0.01
Cr 0.000 0.000 0.500  2.97
Pb 0.500 0.500 0.745  0.01
Pb 0.500 0.500 0.255  0.01
O 0.180 0.819 0.241  -0.02
O 0.706 0.708 0.000  0.01
O 0.820 0.181 0.241  -0.02
O 0.820 0.181 0.759  -0.02
O 0.294 0.292 0.000  0.01
O 0.180 0.819 0.759  -0.02
O 0.709 0.710 0.500  -0.01
O 0.291 0.290 0.500  -0.01

***

Below is an optimized crystal structure of TaCrPbO6, with properties calculated at the GGA+U level.

Values from the calculation:
As for the space group: P-31c, No. 163.

abc: 5.216 5.216 9.392
angles: 90.00 90.00 120.00
Last column: magnetic moment on the atom in μB.
Fractional positions:
Ta 0.667 0.333 0.250  0.00
Ta 0.333 0.667 0.750  0.00
Cr 0.333 0.667 0.250  2.92
Cr 0.667 0.333 0.750  2.92
Pb 0.000 0.000 0.000  0.03
Pb 0.000 0.000 0.500  0.03
O 0.649 0.646 0.135  0.00
O 0.997 0.351 0.135  0.00
O 0.351 0.997 0.635  0.00
O 0.003 0.649 0.865  0.00
O 0.354 0.351 0.365  0.00
O 0.997 0.646 0.365  0.00
O 0.646 0.997 0.865  0.00
O 0.649 0.003 0.365  0.00
O 0.003 0.354 0.635  0.00
O 0.354 0.003 0.135  0.00
O 0.646 0.649 0.635  0.00
O 0.351 0.354 0.865  0.00

***

Below is an optimized crystal structure of TaCrPb2O6, with properties calculated at the GGA+U level.

Values from the calculation:
As for the space group: P4mm, No. 99. Its density of states at the Fermi level is 0.0 states/eV/cell.

abc: 4.085 5.671 5.671
angles: 90.00 90.00 90.00
Last column: magnetic moment on the atom in μB.
Fractional positions:
Ta 0.630 0.500 0.500  0.01
Cr 0.650 0.000 0.000  2.91
Pb 0.103 0.500 0.000  0.01
Pb 0.103 0.000 0.500  0.01
O 0.664 0.254 0.254  -0.01
O 0.664 0.254 0.746  -0.01
O 0.151 0.500 0.500  0.01
O 0.153 0.000 0.000  0.00
O 0.664 0.746 0.746  -0.01
O 0.664 0.746 0.254  -0.01

***

Number 1: E -6.158 eV per atom. Number 2: E -6.444 eV per atom. Number 3: E -6.608 eV per atom. Number 4: E -7.158 eV per atom. Number 5: E -7.777 eV per atom. Number 6: E -7.584 eV per atom.